1.
{"formula": "La4Y8Ho3", "functional": "GGA-PBE", "state": "relaxed", "lattice": [[-3.166, -1.396, -6.121], [-0.057, -6.566, -2.512], [-11.319, -4.778, 2.906]], "species": ["La", "La", "La", "La", "Y", "Y", "Y", "Y", "Y", "Y", "Y", "Y", "Ho", "Ho", "Ho"], "fractional_positions": [[0.000, 0.000, 0.000], [0.500, 0.500, 0.500], [0.664, 0.664, 0.008], [0.336, 0.336, 0.992], [0.750, 0.246, 0.254], [0.750, 0.750, 0.254], [0.244, 0.244, 0.267], [0.754, 0.250, 0.746], [0.250, 0.754, 0.746], [0.246, 0.750, 0.254], [0.756, 0.756, 0.733], [0.250, 0.250, 0.746], [0.500, 0.000, 0.500], [0.000, 0.500, 0.500], [0.000, 0.000, 0.500]], "dos_at_fermi_per_ev_cell": 24.43, "crystal_system": "trigonal", "e_form_ev_per_atom": 0.114}



2.
{"formula": "LaY3Ho8", "functional": "GGA-PBE", "state": "relaxed", "lattice": [[-5.826, -3.025, 5.330], [0.072, 3.117, -7.855], [4.123, -7.154, -1.838]], "species": ["Ho", "Ho", "Ho", "Ho", "Ho", "Ho", "Ho", "Ho", "Y", "Y", "Y", "La"], "fractional_positions": [[0.167, 0.251, 0.420], [0.839, 0.670, 0.170], [0.834, 0.168, 0.666], [0.499, 0.669, 0.830], [0.832, 0.251, 0.085], [0.167, 0.747, 0.916], [0.832, 0.747, 0.580], [0.501, 0.168, 0.333], [0.502, 0.250, 0.749], [0.502, 0.752, 0.251], [0.165, 0.665, 0.500], [0.161, 0.161, 0.000]], "dos_at_fermi_per_ev_cell": 22.12, "crystal_system": "monoclinic", "e_form_ev_per_atom": 0.012}



3.
{"formula": "LaY12Ho2", "functional": "GGA-PBE", "state": "relaxed", "lattice": [[-1.092, -6.313, 0.484], [4.657, -1.133, -4.279], [16.893, -1.483, 18.779]], "species": ["Y", "Y", "Y", "Y", "Y", "Y", "Y", "Y", "Y", "Y", "Y", "Y", "Y", "Y", "Y", "Y", "Y", "Y", "Y", "Y", "Y", "Y", "Y", "Y", "Ho", "Ho", "Ho", "Ho", "La", "La"], "fractional_positions": [[0.831, 0.669, 0.439], [0.000, 0.000, 0.218], [0.318, 0.818, 0.119], [0.818, 0.682, 0.119], [0.169, 0.669, 0.561], [0.669, 0.831, 0.561], [0.682, 0.818, 0.881], [0.818, 0.318, 0.881], [0.500, 0.500, 0.340], [0.182, 0.682, 0.881], [0.669, 0.169, 0.439], [0.000, 0.000, 0.782], [0.500, 0.500, 0.218], [0.331, 0.169, 0.561], [0.500, 0.500, 0.782], [0.831, 0.331, 0.561], [0.331, 0.831, 0.439], [0.182, 0.318, 0.119], [0.169, 0.331, 0.439], [0.500, 0.500, 0.660], [0.318, 0.182, 0.881], [0.000, 0.000, 0.340], [0.000, 0.000, 0.660], [0.682, 0.182, 0.119], [0.500, 0.000, 0.723], [0.000, 0.500, 0.277], [0.000, 0.500, 0.723], [0.500, 0.000, 0.277], [0.000, 0.500, 0.000], [0.500, 0.000, 0.000]], "dos_at_fermi_per_ev_cell": 44.81, "crystal_system": "tetragonal", "e_form_ev_per_atom": 0.324}



4.
{"formula": "La7YHo4", "functional": "GGA-PBE", "state": "relaxed", "lattice": [[-0.154, 5.926, -1.373], [-1.708, 4.977, 8.189], [6.785, 4.145, 3.642]], "species": ["Ho", "Ho", "Ho", "Ho", "Y", "La", "La", "La", "La", "La", "La", "La"], "fractional_positions": [[0.436, 0.702, 0.425], [0.667, 0.640, 0.026], [0.333, 0.360, 0.974], [0.564, 0.298, 0.575], [0.000, 0.000, 0.000], [0.910, 0.458, 0.721], [0.090, 0.542, 0.279], [0.774, 0.256, 0.195], [0.500, 0.000, 0.000], [0.212, 0.105, 0.470], [0.226, 0.744, 0.805], [0.788, 0.895, 0.530]], "dos_at_fermi_per_ev_cell": 21.21, "crystal_system": "monoclinic", "e_form_ev_per_atom": 0.212, "polymorph_energy_ev_per_atom": 0.1987}



5.
{"formula": "La4Y2Ho3", "functional": "GGA-PBE", "state": "relaxed", "lattice": [[-0.695, 4.376, 2.640], [-5.700, -3.606, 4.475], [7.167, -3.199, 2.151]], "species": ["Ho", "Ho", "Ho", "La", "La", "La", "La", "Y", "Y"], "fractional_positions": [[0.000, 0.000, 0.000], [0.111, 0.671, 0.223], [0.889, 0.329, 0.777], [0.554, 0.331, 0.108], [0.224, 0.335, 0.447], [0.446, 0.669, 0.892], [0.776, 0.665, 0.553], [0.333, 0.000, 0.666], [0.667, 0.000, 0.334]], "dos_at_fermi_per_ev_cell": 15.79, "crystal_system": "monoclinic", "e_form_ev_per_atom": 0.031, "polymorph_energy_ev_per_atom": 0.0000}



6.
{"formula": "La4YHo7", "functional": "GGA-PBE", "state": "relaxed", "lattice": [[5.939, 0.000, 0.000], [2.969, 11.485, -0.491], [2.969, 0.099, 6.069]], "species": ["Ho", "Ho", "Ho", "Ho", "Ho", "Ho", "Ho", "La", "La", "La", "La", "Y"], "fractional_positions": [[0.036, 0.632, 0.295], [0.791, 0.919, 0.498], [0.500, 0.000, 0.000], [0.964, 0.368, 0.705], [0.355, 0.513, 0.777], [0.645, 0.487, 0.223], [0.209, 0.081, 0.502], [0.296, 0.292, 0.116], [0.704, 0.708, 0.884], [0.636, 0.224, 0.503], [0.364, 0.776, 0.497], [0.000, 0.000, 0.000]], "dos_at_fermi_per_ev_cell": 20.22, "crystal_system": "monoclinic", "e_form_ev_per_atom": 0.269}



7.
{"formula": "La3YHo6", "functional": "GGA-PBE", "state": "relaxed", "lattice": [[6.624, 0.000, 0.000], [0.000, 10.127, 0.649], [0.000, -1.627, 10.016]], "species": ["Ho", "Ho", "Ho", "Ho", "Ho", "Ho", "Ho", "Ho", "Ho", "Ho", "Ho", "Ho", "La", "La", "La", "La", "La", "La", "Y", "Y"], "fractional_positions": [[0.674, 0.534, 0.703], [0.757, 0.029, 0.971], [0.174, 0.466, 0.297], [0.337, 0.550, 0.962], [0.562, 0.227, 0.773], [0.337, 0.038, 0.450], [0.837, 0.450, 0.038], [0.837, 0.962, 0.550], [0.257, 0.971, 0.029], [0.674, 0.297, 0.466], [0.062, 0.773, 0.227], [0.174, 0.703, 0.534], [0.446, 0.864, 0.749], [0.946, 0.749, 0.864], [0.446, 0.251, 0.136], [0.683, 0.616, 0.384], [0.183, 0.384, 0.616], [0.946, 0.136, 0.251], [0.070, 0.177, 0.823], [0.570, 0.823, 0.177]], "dos_at_fermi_per_ev_cell": 29.80, "crystal_system": "orthorhombic", "e_form_ev_per_atom": 0.228, "polymorph_energy_ev_per_atom": 0.0000}



8.
{"formula": "La2YHo", "functional": "GGA-PBE", "state": "relaxed", "lattice": [[-1.739, -2.409, -2.128], [-0.126, -3.525, 0.956], [-10.650, -0.003, 5.568]], "species": ["Ho", "Y", "La", "La"], "fractional_positions": [[0.668, 0.668, 0.997], [0.499, 0.499, 0.502], [0.083, 0.083, 0.751], [0.250, 0.250, 0.250]], "dos_at_fermi_per_ev_cell": 6.27, "crystal_system": "trigonal", "e_form_ev_per_atom": 0.027, "polymorph_energy_ev_per_atom": 0.0165}



9.
{"formula": "La5Y5Ho2", "functional": "GGA-PBE", "state": "relaxed", "lattice": [[-5.644, -0.107, -1.275], [-3.227, -8.350, 1.853], [-4.449, 5.096, 6.129]], "species": ["La", "La", "La", "La", "La", "Y", "Y", "Y", "Y", "Y", "Ho", "Ho"], "fractional_positions": [[0.000, 0.000, 0.000], [0.664, 0.214, 0.457], [0.993, 0.255, 0.758], [0.336, 0.786, 0.543], [0.007, 0.745, 0.242], [0.669, 0.955, 0.707], [0.000, 0.500, 0.500], [0.330, 0.295, 0.044], [0.670, 0.705, 0.956], [0.331, 0.045, 0.293], [0.334, 0.542, 0.789], [0.666, 0.458, 0.211]], "dos_at_fermi_per_ev_cell": 19.09, "crystal_system": "monoclinic", "e_form_ev_per_atom": 0.064}



10.
{"formula": "LaYHo14", "functional": "GGA-PBE", "state": "relaxed", "lattice": [[-5.536, -4.382, -0.886], [5.811, -2.262, 3.430], [-4.448, 3.614, 9.918]], "species": ["Ho", "Ho", "Ho", "Ho", "Ho", "Ho", "Ho", "Ho", "Ho", "Ho", "Ho", "Ho", "Ho", "Ho", "Y", "La"], "fractional_positions": [[0.708, 0.792, 0.500], [0.875, 0.626, 0.246], [0.375, 0.625, 0.750], [0.375, 0.625, 0.250], [0.875, 0.125, 0.247], [0.374, 0.125, 0.754], [0.042, 0.958, 0.000], [0.875, 0.626, 0.754], [0.208, 0.292, 0.500], [0.875, 0.125, 0.753], [0.042, 0.458, 0.000], [0.541, 0.459, 0.000], [0.374, 0.125, 0.246], [0.542, 0.958, 0.000], [0.208, 0.792, 0.500], [0.708, 0.292, 0.500]], "dos_at_fermi_per_ev_cell": 20.22, "crystal_system": "orthorhombic", "e_form_ev_per_atom": 0.009}



11.
{"formula": "La3Y2Ho5", "functional": "GGA-PBE", "state": "relaxed", "lattice": [[8.458, 1.602, -3.947], [0.241, 8.554, -3.999], [-1.716, -1.914, 10.900]], "species": ["Y", "Y", "Y", "Y", "Ho", "Ho", "Ho", "Ho", "Ho", "Ho", "Ho", "Ho", "Ho", "Ho", "La", "La", "La", "La", "La", "La"], "fractional_positions": [[0.534, 0.278, 0.267], [0.466, 0.722, 0.733], [0.767, 0.011, 0.733], [0.233, 0.989, 0.267], [0.470, 0.720, 0.441], [0.273, 0.523, 0.046], [0.530, 0.280, 0.559], [0.976, 0.226, 0.452], [0.850, 0.603, 0.725], [0.625, 0.877, 0.275], [0.150, 0.397, 0.275], [0.375, 0.123, 0.725], [0.024, 0.774, 0.548], [0.727, 0.477, 0.954], [0.234, 0.984, 0.967], [0.018, 0.776, 0.248], [0.766, 0.016, 0.033], [0.982, 0.224, 0.752], [0.730, 0.472, 0.248], [0.270, 0.528, 0.752]], "dos_at_fermi_per_ev_cell": 34.78, "crystal_system": "monoclinic", "e_form_ev_per_atom": 0.194}



12.
{"formula": "La3Y2Ho2", "functional": "GGA-PBE", "state": "relaxed", "lattice": [[-0.971, 2.093, 2.664], [-4.469, -6.537, 3.508], [9.023, -0.012, 0.967]], "species": ["Ho", "Ho", "La", "La", "La", "Y", "Y"], "fractional_positions": [[0.142, 0.322, 0.283], [0.858, 0.678, 0.717], [0.786, 0.205, 0.572], [0.000, 0.500, 0.000], [0.214, 0.795, 0.428], [0.435, 0.089, 0.871], [0.565, 0.911, 0.129]], "dos_at_fermi_per_ev_cell": 11.24, "crystal_system": "monoclinic", "e_form_ev_per_atom": 0.112, "polymorph_energy_ev_per_atom": 0.0866}